(1)
Computed, not measured: an optimized crystal structure of HoCoSi2Ir at the PBE level of DFT.

Lattice parameters (Å, degrees): 3.9670 3.9670 9.8963 90.00 90.00 90.00
Space group I-4m2 (No. 119)
One atom of each set of equivalent atoms:
Ho: 0.0000 0.0000 0.0000 (multiplicity 2)
Co: 0.0000 0.5000 0.2500 (multiplicity 2)
Si: 0.0000 0.0000 0.3775 (multiplicity 4)
Ir: 0.0000 0.5000 0.7500 (multiplicity 2)

Results
Crystal system   tetragonal
Energy   -7.230 eV/atom
V   155.74 Å³ per cell
Magnetic moment   0.00 μB per atom
Theoretical density   10.07 g cm⁻³

=====

(2)
Computed, not measured: an optimized crystal structure of CoNiGeMo at the PBE level of DFT.

Lattice parameters (Å, degrees): 5.9066 5.9066 5.9066 90.00 90.00 90.00
Space group F-43m (No. 216)
One atom of each set of equivalent atoms:
Co: 0.0000 0.0000 0.0000 (multiplicity 4)
Ni: 0.2500 0.2500 0.7500 (multiplicity 4)
Ge: 0.2500 0.2500 0.2500 (multiplicity 4)
Mo: 0.0000 0.0000 0.5000 (multiplicity 4)

Results
Crystal system   cubic
V   206.07 Å³ per cell
Magnetic moment   0.06 μB per atom
Theoretical density   9.23 g cm⁻³
Polymorph energy (0 for the lowest one)   22 meV/atom

=====

(3)
Computed, not measured: an optimized crystal structure of NaLaHgS3 at the PBE level of DFT.

Lattice parameters (Å, degrees): 12.1523 4.2206 11.8385 90.00 90.00 90.00
Space group Pnma (No. 62)
One atom of each set of equivalent atoms:
Na: 0.1333 0.2500 0.0135 (multiplicity 4)
La: 0.0392 0.2500 0.6777 (multiplicity 4)
Hg: 0.2389 0.2500 0.2952 (multiplicity 4)
S: 0.0588 0.7500 0.8508 (multiplicity 4)
S: 0.0817 0.2500 0.4296 (multiplicity 4)
S: 0.2219 0.7500 0.1611 (multiplicity 4)

Results
Crystal system   orthorhombic
V   607.19 Å³ per cell
Magnetic moment   0.00 μB per atom
Theoretical density   5.02 g cm⁻³
Polymorph energy (0 for the lowest one)   1 meV/atom

=====

(4)
Computed, not measured: an optimized crystal structure of InCuRePd at the PBE level of DFT.

Lattice parameters (Å, degrees): 6.3355 6.3355 6.3355 90.00 90.00 90.00
Space group F-43m (No. 216)
One atom of each set of equivalent atoms:
In: 0.0000 0.0000 0.0000 (multiplicity 4)
Cu: 0.2500 0.2500 0.2500 (multiplicity 4)
Re: 0.0000 0.0000 0.5000 (multiplicity 4)
Pd: 0.2500 0.2500 0.7500 (multiplicity 4)

Results
Crystal system   cubic
V   254.30 Å³ per cell
Magnetic moment   0.53 μB per atom
Theoretical density   12.30 g cm⁻³
Polymorph energy (0 for the lowest one)   0 meV/atom